Ta2ICl8 PBE optimized geometry; space group = No. 12; energy relative to the elements, uncorrected = -1.15 eV/atom; DOS at the Fermi energy = 1.87 states/eV/f.u.
1.0
-0.760 -6.227 -3.353
4.799 2.155 -6.699
5.048 -3.877 3.175
Ta I Cl
2 1 8
direct
0.891 0.691 0.109
0.109 0.309 0.891
0.000 0.000 0.000
0.869 0.303 0.713
0.287 0.303 0.131
0.131 0.697 0.287
0.352 0.191 0.648
0.713 0.697 0.869
0.823 0.429 0.177
0.177 0.571 0.823
0.648 0.809 0.352

***

Ta2I8Cl PBE optimized geometry; space group = No. 12; energy relative to the elements, uncorrected = -0.47 eV/atom; DOS at the Fermi energy = 5.72 states/eV/f.u.
1.0
7.967 -0.492 -0.717
-1.709 8.511 4.770
-1.751 0.598 9.731
I Cl Ta
8 1 2
direct
0.729 0.108 0.617
0.271 0.383 0.892
0.781 0.148 0.148
0.219 0.852 0.852
0.729 0.617 0.108
0.271 0.892 0.383
0.235 0.311 0.311
0.765 0.689 0.689
0.000 0.000 0.000
0.114 0.150 0.150
0.886 0.850 0.850

***

TaI2Cl5 PBE optimized geometry; space group = No. 1; energy relative to the elements, uncorrected = -0.87 eV/atom; DOS at the Fermi energy = 0.00 states/eV/f.u.
1.0
-15.515 8.248 -5.489
-11.586 2.080 -6.806
-8.528 -1.434 -1.114
Ta I Cl
1 2 5
direct
0.967 0.990 0.988
0.786 0.363 0.527
0.223 0.617 0.373
0.886 0.770 0.451
0.283 0.464 0.061
0.689 0.472 0.954
0.140 0.050 0.711
0.250 0.273 0.936

***

TaI2Cl PBE optimized geometry; energy above the lowest structure with this stoichiometry = 0.230 eV/atom; space group = No. 122; energy relative to the elements, uncorrected = -0.23 eV/atom; DOS at the Fermi energy = 2.35 states/eV/f.u.
1.0
-1.411 -6.825 7.777
9.279 -4.307 -2.096
4.996 -4.029 4.382
I Cl Ta
4 2 2
direct
0.777 0.125 0.250
0.973 0.625 0.250
0.375 0.223 0.750
0.875 0.027 0.750
0.500 0.500 0.000
0.250 0.750 0.500
0.000 0.000 0.000
0.750 0.250 0.500

***

TaICl2 PBE optimized geometry; energy above the lowest structure with this stoichiometry = 0.458 eV/atom; space group = No. 122; energy relative to the elements, uncorrected = -0.35 eV/atom; DOS at the Fermi energy = 1.83 states/eV/f.u.
1.0
-5.346 6.615 2.142
-5.801 -2.752 -5.975
-6.853 0.244 0.103
I Cl Ta
2 4 2
direct
0.500 0.500 0.000
0.250 0.750 0.500
0.765 0.125 0.250
0.985 0.625 0.250
0.375 0.235 0.750
0.875 0.015 0.750
0.000 0.000 0.000
0.750 0.250 0.500

***

TaICl2 PBE optimized geometry; energy above the lowest structure with this stoichiometry = 0.000 eV/atom; space group = No. 15; energy relative to the elements, uncorrected = -0.81 eV/atom; DOS at the Fermi energy = 1.73 states/eV/f.u.
1.0
-1.127 -7.584 1.355
6.836 -2.135 -3.055
12.086 -5.142 15.471
Ta I Cl
8 8 16
direct
0.590 0.124 0.789
0.876 0.410 0.711
0.410 0.876 0.211
0.124 0.590 0.289
0.890 0.080 0.672
0.920 0.110 0.828
0.110 0.920 0.328
0.080 0.890 0.172
0.514 0.766 0.854
0.234 0.486 0.646
0.486 0.234 0.146
0.766 0.514 0.354
0.191 0.091 0.558
0.909 0.809 0.942
0.809 0.909 0.442
0.091 0.191 0.058
0.609 0.141 0.904
0.859 0.391 0.596
0.391 0.859 0.096
0.141 0.609 0.404
0.568 0.083 0.677
0.917 0.432 0.823
0.432 0.917 0.323
0.083 0.568 0.177
0.837 0.765 0.670
0.235 0.163 0.830
0.163 0.235 0.330
0.765 0.837 0.170
0.075 0.925 0.750
0.925 0.075 0.250
0.553 0.447 0.750
0.447 0.553 0.250

***

Ta3ICl PBE optimized geometry; energy above the lowest structure with this stoichiometry = 0.000 eV/atom; space group = No. 221; energy relative to the elements, uncorrected = 1.31 eV/atom; DOS at the Fermi energy = 4.74 states/eV/f.u.
1.0
-4.476 1.187 -0.425
-0.903 -1.925 4.135
0.879 4.063 2.084
I Cl Ta
1 1 3
direct
0.500 0.500 0.500
0.000 0.000 0.000
0.000 0.500 0.000
0.000 0.000 0.500
0.500 0.000 0.000

***

TaI2Cl PBE optimized geometry; energy above the lowest structure with this stoichiometry = 0.000 eV/atom; space group = No. 2; energy relative to the elements, uncorrected = -0.46 eV/atom; DOS at the Fermi energy = 2.56 states/eV/f.u.
1.0
4.430 -1.553 1.052
0.783 3.304 1.582
0.986 2.442 10.550
Ta I Cl
1 2 1
direct
0.899 0.683 0.441
0.767 0.707 0.703
0.031 0.660 0.179
0.399 0.683 0.441

***

TaICl2 PBE optimized geometry; energy above the lowest structure with this stoichiometry = 0.284 eV/atom; space group = No. 166; energy relative to the elements, uncorrected = -0.53 eV/atom; DOS at the Fermi energy = 1.97 states/eV/f.u.
1.0
6.273 2.827 10.219
8.774 2.811 8.179
6.996 5.481 8.531
I Cl Ta
1 2 1
direct
0.000 0.000 0.000
0.881 0.881 0.881
0.119 0.119 0.119
0.500 0.500 0.500

***

TaI3Cl PBE optimized geometry; energy above the lowest structure with this stoichiometry = 2.138 eV/atom; space group = No. 221; energy relative to the elements, uncorrected = 1.58 eV/atom; DOS at the Fermi energy = 10.36 states/eV/f.u.
1.0
5.606 0.000 0.000
0.000 5.606 0.000
0.000 0.000 5.606
I Cl Ta
3 1 1
direct
0.000 0.500 0.000
0.000 0.000 0.500
0.500 0.000 0.000
0.000 0.000 0.000
0.500 0.500 0.500

***

TaI2Cl PBE optimized geometry; energy above the lowest structure with this stoichiometry = 0.852 eV/atom; space group = No. 225; energy relative to the elements, uncorrected = 0.39 eV/atom; DOS at the Fermi energy = 0.00 states/eV/f.u.
1.0
-1.129 -5.009 -0.338
-2.114 -2.437 4.008
-4.910 -1.522 -0.213
I Cl Ta
2 1 1
direct
0.250 0.250 0.250
0.750 0.750 0.750
0.000 0.000 0.000
0.500 0.500 0.500

***

TaTeICl2 PBE optimized geometry; space group = No. 123; energy relative to the elements, uncorrected = 1.19 eV/atom; DOS at the Fermi energy = 3.89 states/eV/f.u.
1.0
-1.938 -4.587 1.134
4.482 -0.662 4.979
-3.282 2.189 3.245
I Cl Te Ta
1 2 1 1
direct
0.000 0.000 0.000
0.000 0.000 0.500
0.500 0.000 0.000
0.000 0.500 0.000
0.500 0.500 0.500